Here is a relaxed Cs3MoN crystal from Alexandria via LeMat-Bulk. Energies are from PBE.

```
5
Lattice="6.861 0.000 0.000 0.000 6.861 0.000 0.000 0.000 6.861" Properties=species:S:1:pos:R:3 pbc="T T T"
Cs 0.000 0.000 3.431
Cs 0.000 3.431 0.000
Cs 3.431 0.000 0.000
Mo 0.000 0.000 0.000
N 3.431 3.431 3.431
```

For the uncorrected formation energy, the calculation gives 1.934 eV per atom. As for the total magnetization: 6.0 μB/f.u.



Here is a relaxed Ti3VSb crystal from Alexandria via LeMat-Bulk. Energies are from PBE.

```
5
Lattice="4.973 0.000 0.000 0.000 4.973 0.000 0.000 0.000 4.973" Properties=species:S:1:pos:R:3 pbc="T T T"
Ti 0.000 0.000 2.487
Ti 0.000 2.487 0.000
Ti 2.487 0.000 0.000
V 2.487 2.487 2.487
Sb 0.000 0.000 0.000
```

For the uncorrected formation energy, the calculation gives 1.103 eV per atom. As for the total magnetization: 2.5 μB/f.u. The distance to the lowest polymorph of the same formula comes out at 106.65 kJ per mole of atoms.



Here is a relaxed LaTb2Pm3Te6 crystal from Alexandria via LeMat-Bulk. Energies are from PBE.

```
12
Lattice="9.705 -2.216 0.000 9.705 2.216 0.000 -2.059 0.000 8.723" Properties=species:S:1:pos:R:3 pbc="T T T"
La 0.000 0.000 0.000
Tb 5.102 0.000 5.830
Tb 12.250 0.000 2.893
Pm -1.029 0.000 4.361
Pm 6.203 0.000 1.477
Pm 11.149 0.000 7.246
Te 2.088 0.000 5.043
Te 3.125 0.000 0.783
Te 8.103 0.000 6.482
Te 9.249 0.000 2.241
Te 14.227 0.000 7.940
Te 15.264 0.000 3.680
```

For the uncorrected formation energy, the calculation gives -1.406 eV per atom. As for the total magnetization: 0.0 μB/f.u.



Here is a relaxed Te2AsIrF crystal from Alexandria via LeMat-Bulk. Energies are from PBE.

```
5
Lattice="5.402 0.000 0.000 0.000 5.402 0.000 0.000 0.000 4.594" Properties=species:S:1:pos:R:3 pbc="T T T"
Te 0.000 2.701 0.000
Te 2.701 0.000 0.000
As 0.000 0.000 2.297
Ir 0.000 0.000 0.000
F 2.701 2.701 2.297
```

For the uncorrected formation energy, the calculation gives 0.290 eV per atom. As for the total magnetization: 0.0 μB/f.u.



Here is a relaxed DyHoSc crystal from Alexandria via LeMat-Bulk. Energies are from PBE.

```
3
Lattice="5.431 0.000 0.000 -2.716 4.704 0.000 0.000 0.000 3.378" Properties=species:S:1:pos:R:3 pbc="T T T"
Dy 0.000 0.000 0.000
Ho 2.716 1.568 1.689
Sc 0.000 3.136 0.000
```

As for the total magnetization: 0.0 μB/f.u. The distance to the lowest polymorph of the same formula comes out at 5.33 kJ per mole of atoms.



Here is a relaxed NaSrLiAl crystal from Alexandria via LeMat-Bulk. Energies are from PBE.

```
4
Lattice="0.000 3.772 3.772 3.772 0.000 3.772 3.772 3.772 0.000" Properties=species:S:1:pos:R:3 pbc="T T T"
Na 0.000 0.000 0.000
Sr 5.658 5.658 5.658
Li 3.772 3.772 3.772
Al 1.886 1.886 1.886
```

Its final energy is -2.10 eV/atom. As for the total magnetization: 0.0 μB/f.u.



Here is a relaxed Sm2ThZrP4 crystal from Alexandria via LeMat-Bulk. Energies are from PBE.

```
8
Lattice="6.963 0.000 0.000 0.000 4.025 0.000 -2.314 0.000 6.588" Properties=species:S:1:pos:R:3 pbc="T T T"
Sm 0.000 0.000 0.000
Sm 3.482 2.013 0.000
Th -1.157 2.013 3.294
Zr 2.324 0.000 3.294
P 0.091 0.000 4.894
P 1.239 2.013 1.746
P 3.410 2.013 4.842
P 4.558 0.000 1.694
```

Its final energy is -7.37 eV/atom. As for the total magnetization: 0.0 μB/f.u.



Here is a relaxed LaHfAu2 crystal from Alexandria via LeMat-Bulk. Energies are from PBE.

```
4
Lattice="0.000 3.600 3.600 3.600 0.000 3.600 3.600 3.600 0.000" Properties=species:S:1:pos:R:3 pbc="T T T"
La 0.000 0.000 0.000
Hf 3.600 3.600 3.600
Au 1.800 1.800 1.800
Au 5.400 5.400 5.400
```

As for the total magnetization: 0.0 μB/f.u. The distance to the lowest polymorph of the same formula comes out at 14.90 kJ per mole of atoms.



Here is a relaxed ZrTiSi crystal from Alexandria via LeMat-Bulk. Energies are from PBE.

```
6
Lattice="4.670 0.000 0.000 -2.335 4.044 0.000 0.000 0.000 5.502" Properties=species:S:1:pos:R:3 pbc="T T T"
Zr 0.000 2.696 1.376
Zr 2.335 1.348 4.127
Ti 0.000 0.000 0.000
Ti 0.000 0.000 2.751
Si 0.000 2.696 4.127
Si 2.335 1.348 1.376
```

For the uncorrected formation energy, the calculation gives -0.539 eV per atom. As for the total magnetization: 0.0 μB/f.u.



Here is a relaxed La2Pr6Dy3Ho crystal from Alexandria via LeMat-Bulk. Energies are from PBE.

```
12
Lattice="3.179 -5.508 0.000 3.179 5.508 0.000 -2.123 0.000 11.894" Properties=species:S:1:pos:R:3 pbc="T T T"
La 3.179 3.670 0.000
La 3.179 -3.670 0.000
Pr 0.002 1.827 8.870
Pr 1.065 0.000 3.027
Pr 0.002 -1.827 8.870
Pr 4.232 1.827 3.025
Pr 3.169 0.000 8.867
Pr 4.232 -1.827 3.025
Dy -1.062 0.000 5.947
Dy 2.117 1.833 5.947
Dy 2.117 -1.833 5.947
Ho 3.179 0.000 0.000
```

Its final energy is -4.73 eV/atom. As for the total magnetization: 0.0 μB/f.u.